## BaTeOsI2 (PBE-GGA)

Data for a geometry-optimized BaTeOsI2 structure.

The structure in extended XYZ format:
```
5
Lattice="6.638 0.000 0.000 0.000 6.638 0.000 0.000 0.000 6.912" Properties=species:S:1:pos:R:3 pbc="T T T"
Ba 0.000 0.000 0.000
Te 0.000 0.000 3.456
Os 3.319 3.319 3.456
I 0.000 3.319 0.000
I 3.319 0.000 0.000
```

Properties
Spin magnetization: 6.0 μB per formula unit
Raw formation energy: 968 meV per atom
Mass density: 3865 kg/m3
Distance to the lowest polymorph of the same formula: 1212 meV/atom